1.
First-principles (PBE) data for crystalline Tm2CdGa2Pd5 at its relaxed geometry, as listed in Alexandria.

Output
energy of formation: -0.716 eV/atom

Lattice parameters (Å, degrees): 9.7737 9.7737 3.7999 90.00 90.00 90.00
Space group P4/mbm (No. 127)
One atom of each set of equivalent atoms:
1 Tm 0.1759 0.3241 0.0000
2 Cd 0.0000 0.0000 0.0000
3 Ga 0.1223 0.6223 0.0000
4 Pd 0.0000 0.5000 0.5000
5 Pd 0.0672 0.7900 0.5000

***

2.
First-principles (PBE) data for crystalline Tm4CdGaPd2 at its relaxed geometry, as listed in Alexandria.

Output
energy of formation: -0.659 eV/atom

Lattice parameters (Å, degrees): 4.9979 4.9979 24.5735 90.00 90.00 120.00
Space group R-3m (No. 166, hexagonal axes)
One atom of each set of equivalent atoms:
1 Tm 0.0000 0.0000 0.1220
2 Tm 0.0000 0.0000 0.3723
3 Cd 0.0000 0.0000 0.5000
4 Ga 0.0000 0.0000 0.0000
5 Pd 0.0000 0.0000 0.2474